HfBeZnCo | PBE | relaxed

For the offset from the most stable computed form, the calculation gives 61.4 meV/atom.

The space group is F-43m (No. 216) and the conventional cell measures 5.9619, 5.9619 and 5.9619 Å, with angles of 90.00, 90.00 and 90.00 degrees. Symmetry generates all atoms from Hf at (0.0000, 0.0000, 0.0000), Be at (0.2500, 0.2500, 0.7500), Zn at (0.2500, 0.2500, 0.2500) and Co at (0.0000, 0.0000, 0.5000).